The following is a PBE calculation of an optimized crystal structure of Ce2BeSi3Ir4, from Alexandria.

The space group is P-4m2 (No. 115) and the conventional cell measures 4.119, 4.119 and 9.911 Å, with angles of 90.00, 90.00 and 90.00 degrees. The asymmetric unit holds Ce at (0.000, 0.500, 0.239), Be at (0.500, 0.500, 0.000), Si at (0.000, 0.000, 0.000), Si at (0.000, 0.500, 0.631), Ir at (0.000, 0.000, 0.500), Ir at (0.000, 0.500, 0.874) and Ir at (0.500, 0.500, 0.500).

Its total energy is -7.69 eV/atom. The calculation puts the uncorrected formation energy at -0.961 eV/atom. The value obtained for the density of states at the Fermi level is 1.0014 states/eV/atom.

The following is a PBE calculation of an optimized crystal structure of ErScCoAg, from Alexandria.

The space group is F-43m (No. 216) and the conventional cell measures 6.756, 6.756 and 6.756 Å, with angles of 90.00, 90.00 and 90.00 degrees. The asymmetric unit holds Er at (0.000, 0.000, 0.000), Sc at (0.000, 0.000, 0.500), Co at (0.250, 0.250, 0.750) and Ag at (0.250, 0.250, 0.250).

The calculated formation energy is -20.07 kJ per mole of atoms. Its total energy is -5.42 eV/atom. The value obtained for the density of states at the Fermi level is 0.8679 states/eV/atom.

The following is a PBE calculation of an optimized crystal structure of KPd3I, from Alexandria.

The space group is Pm-3m (No. 221) and the conventional cell measures 5.109, 5.109 and 5.109 Å, with angles of 90.00, 90.00 and 90.00 degrees. The asymmetric unit holds K at (0.000, 0.000, 0.000), Pd at (0.000, 0.000, 0.500) and I at (0.500, 0.500, 0.500).

Its total energy is -2.51 eV/atom. The calculation puts the uncorrected formation energy at 1.133 eV/atom. The value obtained for the density of states at the Fermi level is 0.4256 states/eV/atom.

The following is a PBE calculation of an optimized crystal structure of SiBi2MoPd, from Alexandria.

The space group is P4/mmm (No. 123) and the conventional cell measures 5.416, 5.416 and 4.478 Å, with angles of 90.00, 90.00 and 90.00 degrees. The asymmetric unit holds Si at (0.000, 0.000, 0.000), Bi at (0.000, 0.500, 0.000), Mo at (0.500, 0.500, 0.500) and Pd at (0.000, 0.000, 0.500).

Its total energy is -4.88 eV/atom. The calculation puts the uncorrected formation energy at 0.964 eV/atom. The value obtained for the density of states at the Fermi level is 0.5169 states/eV/atom.

no.,density (g/cm³)
1,11.28
2,8.17
3,6.04
4,8.20